(1)
MgZn3Ir: single point on PBEsol structure, SCAN.

It has space group Pm-3m (No. 221), with a = 4.5002 Å, b = 4.5002 Å, c = 4.5002 Å, α = 90.00°, β = 90.00° and γ = 90.00°. Symmetry generates all atoms from Mg at (0.0000, 0.0000, 0.0000), Zn at (0.0000, 0.0000, 0.5000) and Ir at (0.5000, 0.5000, 0.5000).

For the formation energy, the calculation gives 1438 meV per atom.

---

(2)
MgZnIr: single point on PBEsol structure, SCAN.

It has space group P-6m2 (No. 187), with a = 4.2934 Å, b = 4.2934 Å, c = 2.8726 Å, α = 90.00°, β = 90.00° and γ = 120.00°. Symmetry generates all atoms from Mg at (0.0000, 0.0000, 0.0000), Zn at (0.3333, 0.6667, 0.5000) and Ir at (0.6667, 0.3333, 0.5000).

For the formation energy, the calculation gives -333 meV per atom.

---

(3)
MgZnIr: single point on PBEsol structure, SCAN.

It has space group I4mm (No. 107), with a = 3.1430 Å, b = 3.1430 Å, c = 8.9532 Å, α = 90.00°, β = 90.00° and γ = 90.00°. Symmetry generates all atoms from Mg at (0.0000, 0.0000, 0.0000), Zn at (0.0000, 0.0000, 0.6853) and Ir at (0.0000, 0.0000, 0.3303).

For the formation energy, the calculation gives -378 meV per atom.

---

(4)
MgZnIr2: single point on PBEsol structure, SCAN.

It has space group Cmmm (No. 65), with a = 2.9153 Å, b = 4.6471 Å, c = 8.5372 Å, α = 90.00°, β = 90.00° and γ = 90.00°. Symmetry generates all atoms from Mg at (0.0000, 0.0000, 0.0000), Zn at (0.0000, 0.0000, 0.5000) and Ir at (0.0000, 0.5000, 0.2553).

For the formation energy, the calculation gives -175 meV per atom.

---

(5)
MgZnIr: single point on PBEsol structure, SCAN.

It has space group Imm2 (No. 44), with a = 2.9475 Å, b = 3.6302 Å, c = 8.2648 Å, α = 90.00°, β = 90.00° and γ = 90.00°. Symmetry generates all atoms from Mg at (0.0000, 0.0000, 0.0000), Zn at (0.0000, 0.0000, 0.3169) and Ir at (0.0000, 0.0000, 0.6692).

For the formation energy, the calculation gives -341 meV per atom.

---

(6)
Mg3ZnIr: single point on PBEsol structure, SCAN.

It has space group Pm-3m (No. 221), with a = 4.9288 Å, b = 4.9288 Å, c = 4.9288 Å, α = 90.00°, β = 90.00° and γ = 90.00°. Symmetry generates all atoms from Mg at (0.0000, 0.0000, 0.5000), Zn at (0.5000, 0.5000, 0.5000) and Ir at (0.0000, 0.0000, 0.0000).

For the formation energy, the calculation gives 134 meV per atom.